Below is a relaxed HfTiAu2 crystal, with properties calculated at the GGA-PBE level.

The structure belongs to space group Fm-3m (No. 225); the cell edges are 6.693, 6.693 and 6.693 Å and the angles 90.00°, 90.00° and 90.00°. The distinct sites, in fractional coordinates, are Hf at (0.000, 0.000, 0.000), Ti at (0.000, 0.000, 0.500) and Au at (0.250, 0.250, 0.250).

Its crystal system is cubic. As for the energy of formation: -1.50 eV/f.u. The total DFT energy (no corrections) is -25.91 eV/f.u.

=====

Below is a relaxed BePt2Rh crystal, with properties calculated at the GGA-PBE level.

The structure belongs to space group Cmmm (No. 65); the cell edges are 5.440, 7.399 and 2.749 Å and the angles 90.00°, 90.00° and 90.00°. The distinct sites, in fractional coordinates, are Be at (0.000, 0.000, 0.000), Pt at (0.250, 0.250, 0.500) and Rh at (0.000, 0.500, 0.000).

Its crystal system is orthorhombic. As for the energy of formation: -1.04 eV/f.u. The total DFT energy (no corrections) is -24.20 eV/f.u.

=====

Below is a relaxed K3LaGe crystal, with properties calculated at the GGA-PBE level.

The structure belongs to space group Pm-3m (No. 221); the cell edges are 6.685, 6.685 and 6.685 Å and the angles 90.00°, 90.00° and 90.00°. The distinct sites, in fractional coordinates, are K at (0.000, 0.000, 0.500), La at (0.000, 0.000, 0.000) and Ge at (0.500, 0.500, 0.500).

Its crystal system is cubic. As for the energy of formation: 6.09 eV/f.u. The total DFT energy (no corrections) is -6.74 eV/f.u.

=====

Below is a relaxed HfBe3N crystal, with properties calculated at the GGA-PBE level.

The structure belongs to space group Pm-3m (No. 221); the cell edges are 3.762, 3.762 and 3.762 Å and the angles 90.00°, 90.00° and 90.00°. The distinct sites, in fractional coordinates, are Hf at (0.000, 0.000, 0.000), Be at (0.000, 0.500, 0.500) and N at (0.500, 0.500, 0.500).

Its uncorrected formation energy is 0.302 eV per atom. Its crystal system is cubic. The total DFT energy (no corrections) is -27.95 eV/f.u.

=====

Below is a relaxed BeTe2Cl crystal, with properties calculated at the GGA-PBE level.

The structure belongs to space group Pm (No. 6); the cell edges are 5.968, 3.131 and 7.649 Å and the angles 90.00°, 99.00° and 90.00°. The distinct sites, in fractional coordinates, are Be at (0.000, 0.000, 0.000), Te at (0.233, 0.500, 0.756), Te at (0.725, 0.000, 0.731) and Cl at (0.009, 0.500, 0.169).

Its uncorrected formation energy is -0.354 eV per atom. Its crystal system is monoclinic. The total DFT energy (no corrections) is -13.27 eV/f.u.

=====

Below is a relaxed ReTcAg crystal, with properties calculated at the GGA-PBE level.

The structure belongs to space group Fmm2 (No. 42); the cell edges are 2.873, 4.606 and 14.563 Å and the angles 90.00°, 90.00° and 90.00°. The distinct sites, in fractional coordinates, are Re at (0.000, 0.000, 0.000), Tc at (0.000, 0.000, 0.353) and Ag at (0.000, 0.000, 0.677).

Its crystal system is orthorhombic. As for the energy of formation: 1.28 eV/f.u. The total DFT energy (no corrections) is -24.38 eV/f.u.

=====

Below is a relaxed U2TaGe2Ru5 crystal, with properties calculated at the GGA-PBE level.

The structure belongs to space group P4/mbm (No. 127); the cell edges are 9.977, 9.977 and 3.447 Å and the angles 90.00°, 90.00° and 90.00°. The distinct sites, in fractional coordinates, are U at (0.172, 0.328, 0.000), Ta at (0.000, 0.000, 0.000), Ge at (0.126, 0.626, 0.000), Ru at (0.000, 0.500, 0.500) and Ru at (0.068, 0.795, 0.500).

Its crystal system is tetragonal. As for the energy of formation: -2.23 eV/f.u. The total DFT energy (no corrections) is -92.27 eV/f.u.

=====

Below is a relaxed PrGe6S8 crystal, with properties calculated at the GGA-PBE level.

The structure belongs to space group R-3 (No. 148, hexagonal axes); the cell edges are 9.7753, 9.7753 and 12.7323 Å and the angles 90.00°, 90.00° and 120.00°. The distinct sites, in fractional coordinates, are Pr at (0.0000, 0.0000, 0.0000), Ge at (0.0369, 0.8244, 0.6181), S at (0.0000, 0.0000, 0.2540) and S at (0.0153, 0.7217, 0.0810).

Its uncorrected formation energy is -0.429 eV per atom. Its crystal system is trigonal. The total DFT energy (no corrections) is -71.94 eV/f.u.

=====

Below is a relaxed Pm2Al5Cu2Ag crystal, with properties calculated at the GGA-PBE level.

The structure belongs to space group P4/mbm (No. 127); the cell edges are 9.476, 9.476 and 4.150 Å and the angles 90.00°, 90.00° and 90.00°. The distinct sites, in fractional coordinates, are Pm at (0.188, 0.312, 0.000), Al at (0.000, 0.500, 0.500), Al at (0.053, 0.792, 0.500), Cu at (0.105, 0.605, 0.000) and Ag at (0.000, 0.000, 0.000).

Its crystal system is tetragonal. As for the energy of formation: -3.96 eV/f.u. The total DFT energy (no corrections) is -43.22 eV/f.u.

=====

Below is a relaxed Si2RuPt crystal, with properties calculated at the GGA-PBE level.

The structure belongs to space group Cm (No. 8); the cell edges are 8.519, 3.102 and 4.305 Å and the angles 90.00°, 104.28° and 90.00°. The distinct sites, in fractional coordinates, are Si at (0.000, 0.000, 0.000), Si at (0.242, 0.000, 0.645), Ru at (0.011, 0.500, 0.546) and Pt at (0.241, 0.500, 0.140).

Its uncorrected formation energy is -0.570 eV per atom. Its crystal system is monoclinic. The total DFT energy (no corrections) is -28.44 eV/f.u.

=====

Below is a relaxed TaBe3 crystal, with properties calculated at the GGA-PBE level.

The structure belongs to space group P-6m2 (No. 187); the cell edges are 2.6960, 2.6960 and 7.7760 Å and the angles 90.00°, 90.00° and 120.00°. The distinct sites, in fractional coordinates, are Ta at (0.0000, 0.0000, 0.0000), Be at (0.0000, 0.0000, 0.5000) and Be at (0.3333, 0.6667, 0.2823).

Its crystal system is hexagonal. As for the energy of formation: 1.60 eV/f.u. The total DFT energy (no corrections) is -21.43 eV/f.u.

=====

Below is a relaxed NiHg2Sb crystal, with properties calculated at the GGA-PBE level.

The structure belongs to space group Pmmm (No. 47); the cell edges are 3.893, 3.923 and 5.561 Å and the angles 90.00°, 90.00° and 90.00°. The distinct sites, in fractional coordinates, are Ni at (0.000, 0.000, 0.000), Hg at (0.500, 0.500, 0.240) and Sb at (0.000, 0.000, 0.500).

Its uncorrected formation energy is 0.367 eV per atom. Its crystal system is orthorhombic. The total DFT energy (no corrections) is -9.04 eV/f.u.

=====

- Which of these has the lowest total DFT energy (no corrections)?
  U2TaGe2Ru5